Record 1
First-principles (GGA-PBE) data for a relaxed NpAl crystal, as listed in the Open Quantum Materials Database.

Results
The value obtained for the total energy is -7.6738 eV/atom.

Cell lengths 4.6249, 4.6249, 5.4196 Å; angles 90.00, 90.00, 120.00 degrees
Site moments in Bohr magnetons follow the coordinates.
Positions (direct):
Np1 0.0000 0.0000 0.5000  4.08
Np2 0.0000 0.0000 0.0000  4.07
Al1 0.6667 0.3333 0.2500  0.00
Al2 0.3333 0.6667 0.7500  0.00

---

Record 2
First-principles (GGA-PBE) data for a relaxed Sr2TaSO6 crystal, as listed in the Open Quantum Materials Database.

Results
The value obtained for the total energy is -7.0196 eV/atom.

Cell lengths 5.9446, 5.7361, 9.5105 Å; angles 90.00, 126.84, 90.00 degrees
Positions (direct):
Ta1 0.5000 0.0000 0.0000
Sr1 0.7525 0.9741 0.7516
Sr2 0.2475 0.0259 0.2484
O1 0.3556 0.2618 0.0505
O2 0.2754 0.7220 0.5389
O3 0.1698 0.0199 0.7405
Sr3 0.2475 0.4741 0.7484
S1 0.0000 0.5000 0.0000
O4 0.7246 0.2780 0.4611
S2 0.0000 0.0000 0.5000
O5 0.1698 0.4801 0.2405
O6 0.3556 0.2382 0.5505
O7 0.8302 0.9801 0.2595
O8 0.2754 0.7780 0.0389
O9 0.7246 0.2220 0.9611
Sr4 0.7525 0.5259 0.2516
O10 0.6444 0.7618 0.4495
O11 0.8302 0.5199 0.7595
Ta2 0.5000 0.5000 0.5000
O12 0.6444 0.7382 0.9495

---

Record 3
First-principles (GGA-PBE) data for a relaxed LiAgTePt crystal, as listed in the Open Quantum Materials Database.

Results
The value obtained for the total energy is -3.7588 eV/atom.

Cell lengths 4.6830, 4.6830, 4.6830 Å; angles 60.00, 60.00, 60.00 degrees
Positions (direct):
Ag1 0.5000 0.5000 0.5000
Te1 0.0000 0.0000 0.0000
Pt1 0.2500 0.2500 0.2500
Li1 0.7500 0.7500 0.7500

---

Record 4
First-principles (GGA-PBE) data for a relaxed CsNa2Cd2 crystal, as listed in the Open Quantum Materials Database.

Results
The value obtained for the total energy is -1.0709 eV/atom.

Cell lengths 7.6937, 7.6937, 7.6937 Å; angles 141.03, 141.03, 56.29 degrees
Positions (direct):
Cd1 0.3909 0.3909 0.0000
Cd2 0.6091 0.6091 0.0000
Na1 0.2500 0.7500 0.5000
Na2 0.7500 0.2500 0.5000
Cs1 0.0000 0.0000 0.0000

---

Record 5
First-principles (GGA-PBE) data for a relaxed HoMgGa2Pd4 crystal, as listed in the Open Quantum Materials Database.

Results
The value obtained for the total energy is -4.8680 eV/atom.

Cell lengths 4.5625, 4.5625, 6.4374 Å; angles 90.00, 90.00, 90.00 degrees
Positions (direct):
Ho1 0.0000 0.0000 0.0000
Ga1 0.5000 0.5000 0.0000
Pd1 0.5000 0.0000 0.2679
Pd2 0.5000 0.0000 0.7321
Pd3 0.0000 0.5000 0.7321
Mg1 0.5000 0.5000 0.5000
Pd4 0.0000 0.5000 0.2679
Ga2 0.0000 0.0000 0.5000

---

Record 6
First-principles (GGA-PBE) data for a relaxed RbCdGe crystal, as listed in the Open Quantum Materials Database.

Results
The value obtained for the total energy is -1.3831 eV/atom.

Cell lengths 5.5713, 5.5713, 5.5713 Å; angles 60.00, 60.00, 60.00 degrees
Positions (direct):
Ge1 0.7500 0.7500 0.7500
Cd1 0.2500 0.2500 0.2500
Rb1 0.0000 0.0000 0.0000

---

Record 7
First-principles (GGA-PBE) data for a relaxed InAgPO crystal, as listed in the Open Quantum Materials Database.

Results
The value obtained for the total energy is -3.8203 eV/atom.

Cell lengths 4.3596, 4.3596, 8.5329 Å; angles 90.00, 90.00, 90.00 degrees
Positions (direct):
O1 0.0000 0.0000 0.0000
In1 0.5000 0.5000 0.5000
P1 0.0000 0.5000 0.6811
Ag1 0.0000 0.5000 0.0311
In2 0.0000 0.0000 0.5000
Ag2 0.5000 0.0000 0.9689
O2 0.5000 0.5000 0.0000
P2 0.5000 0.0000 0.3189

---

Record 8
First-principles (GGA-PBE) data for a relaxed KGdZnSe3 crystal, as listed in the Open Quantum Materials Database.

Results
The value obtained for the total energy is -4.1523 eV/atom.

Cell lengths 9.5672, 9.5672, 8.6941 Å; angles 101.97, 101.97, 25.51 degrees
Positions (direct):
Se1 0.0000 0.0000 0.5000
Gd1 0.1692 0.1692 0.5719
Zn1 0.4706 0.4706 0.2658
Se2 0.3366 0.3366 0.2053
Se3 0.6746 0.6746 0.3544
Se4 0.6634 0.6634 0.7947
K1 0.1382 0.1382 0.0694
Se5 0.3254 0.3254 0.6456
K2 0.8618 0.8618 0.9306
Se6 0.5000 0.5000 0.0000
Gd2 0.8308 0.8308 0.4281
Zn2 0.5294 0.5294 0.7342

---

Record 9
First-principles (GGA-PBE) data for a relaxed AcCdIr crystal, as listed in the Open Quantum Materials Database.

Results
As for the energy relative to the elements: 161 meV/atom.

Cell lengths 4.8990, 4.8990, 4.8990 Å; angles 60.00, 60.00, 60.00 degrees
Positions (direct):
Ir1 0.7500 0.7500 0.7500
Ac1 0.2500 0.2500 0.2500
Cd1 0.0000 0.0000 0.0000

---

Record 10
First-principles (GGA-PBE) data for a relaxed Dy2ErCu4Sn2Ge2 crystal, as listed in the Open Quantum Materials Database.

Results
The value obtained for the total energy is -4.7570 eV/atom.

Cell lengths 8.2530, 8.2530, 8.2530 Å; angles 149.45, 132.20, 57.80 degrees
Positions (direct):
Sn1 0.7826 0.7826 0.0000
Ge1 0.6921 0.5000 0.1921
Ge2 0.3079 0.5000 0.8079
Cu1 0.9701 0.6597 0.3104
Sn2 0.2174 0.2174 0.0000
Cu2 0.6507 0.3403 0.3104
Cu3 0.0299 0.3403 0.6896
Cu4 0.3493 0.6597 0.6896
Er1 0.0000 0.0000 0.0000
Dy1 0.6251 0.1251 0.5000
Dy2 0.3749 0.8749 0.5000

---

Record 11
First-principles (GGA-PBE) data for a relaxed LaBeCo crystal, as listed in the Open Quantum Materials Database.

Results
The value obtained for the total energy is -4.7778 eV/atom.

Cell lengths 4.3275, 4.3275, 4.3275 Å; angles 60.00, 60.00, 60.00 degrees
Positions (direct):
Be1 0.0000 0.0000 0.0000
La1 0.7500 0.7500 0.7500
Co1 0.2500 0.2500 0.2500

---

Record 12
First-principles (GGA-PBE) data for a relaxed ZrCu crystal, as listed in the Open Quantum Materials Database.

Results
As for the energy relative to the elements: 5 meV/atom.

Cell lengths 5.1338, 8.9374, 4.5713 Å; angles 90.00, 90.00, 89.98 degrees
Positions (direct):
Zr1 0.0589 0.6355 0.0000
Cu1 0.8687 0.4868 0.5000
Cu2 0.4673 0.1782 0.0000
Cu3 0.9669 0.9885 0.0000
Zr2 0.9599 0.2865 0.0000
Zr3 0.5590 0.5312 0.0000
Zr4 0.3590 0.3401 0.5000
Cu4 0.7866 0.1328 0.5000
Zr5 0.8589 0.8266 0.5000
Zr6 0.4596 0.8801 0.0000
Cu5 0.2865 0.0339 0.5000
Cu6 0.3687 0.6799 0.5000

---

Mass density, respectively: 8.73 6.20 10.00 3.75 9.35 3.67 5.52 4.94 10.62 8.92 5.99 7.35 g/cm3.
V, respectively: 25.10 12.98 18.16 35.74 16.75 40.76 20.27 27.91 27.71 19.10 19.10 17.48 Å³/atom.